Entry 1:
PuInAu: optimized geometry, PBE.

Cell lengths 5.0343, 4.8974, 6.2491 Å; angles 113.08, 90.00, 90.00 degrees
Last column: nearest neighbours and their distance in Å.
Positions (direct):
Pu1 0.7502 0.0922 0.1844  4 Au 3.02-3.14, 2 Pu 3.29, 2 In 3.31
Pu2 0.2498 0.9078 0.8156  4 Au 3.02-3.14, 2 Pu 3.29, 2 In 3.31
In1 0.7499 0.3986 0.7972  4 Au 2.90-3.13
In2 0.2501 0.6014 0.2028  4 Au 2.90-3.13
Au1 0.7498 0.7630 0.5260  4 In 2.90-3.13, 4 Pu 3.02-3.14
Au2 0.2502 0.2370 0.4740  4 In 2.90-3.13, 4 Pu 3.02-3.14

E_form (meV per atom): -309.0
Space-group type: No. 63
Electronic total energy (eV per atom): -7.09
DOS at the Fermi energy (states/eV per cell): 20.25

=====

Entry 2:
PuInAu3: optimized geometry, PBE.

Cell lengths 4.8935, 9.5762, 9.4312 Å; angles 90.00, 90.00, 90.00 degrees
Last column: nearest neighbours and their distance in Å.
Positions (direct):
Pu1 0.2500 0.9905 0.2280  7 Au 3.06-3.34, 2 In 3.37
Pu2 0.7500 0.4905 0.2720  7 Au 3.06-3.34, 2 In 3.37
Pu3 0.2500 0.5095 0.7280  7 Au 3.06-3.34, 2 In 3.37
Pu4 0.7500 0.0095 0.7720  7 Au 3.06-3.34, 2 In 3.37
In1 0.7500 0.3535 0.9149  3 Au 2.71-2.80
In2 0.7500 0.1465 0.4149  3 Au 2.71-2.80
In3 0.2500 0.8535 0.5851  3 Au 2.71-2.80
In4 0.2500 0.6465 0.0851  3 Au 2.71-2.80
Au1 0.7500 0.8557 0.3929  2 Au 2.74-2.86, 3 In 2.79-3.05
Au2 0.2500 0.1443 0.6071  2 Au 2.74-2.86, 3 In 2.79-3.05
Au3 0.7500 0.6443 0.8929  2 Au 2.74-2.86, 3 In 2.79-3.05
Au4 0.2500 0.3557 0.1071  2 Au 2.74-2.86, 3 In 2.79-3.05
Au5 0.7500 0.3456 0.6184  2 In 2.71-2.80, 1 Au 2.88
Au6 0.2500 0.8456 0.8816  2 In 2.71-2.80, 1 Au 2.88
Au7 0.7500 0.1544 0.1184  2 In 2.71-2.80, 1 Au 2.88
Au8 0.2500 0.3554 0.4107  3 Au 2.74-2.88, 2 Pu 3.06
Au9 0.7500 0.6446 0.5893  3 Au 2.74-2.88, 2 Pu 3.06
Au10 0.2500 0.1446 0.9107  3 Au 2.74-2.88, 2 Pu 3.06
Au11 0.2500 0.6544 0.3816  2 In 2.71-2.80, 1 Au 2.88
Au12 0.7500 0.8554 0.0893  3 Au 2.74-2.88, 2 Pu 3.06

Offset from the most stable computed form (meV per atom): 0.0
E_form (meV per atom): -318.5
Space-group type: No. 62
Electronic total energy (eV per atom): -5.70
DOS at the Fermi energy (states/eV per cell): 64.25

=====

Entry 3:
PuInAu: optimized geometry, PBE.

Cell lengths 5.0092, 5.0198, 8.9091 Å; angles 124.28, 90.00, 119.93 degrees
Last column: nearest neighbours and their distance in Å.
Positions (direct):
Pu1 0.7371 0.4743 0.1075  3 Au 2.99, 3 Pu 3.23-3.25, 1 In 3.26
Pu2 0.2629 0.5257 0.8925  3 Au 2.99, 3 Pu 3.23-3.25, 1 In 3.26
In1 0.4187 0.8375 0.6260  4 Au 2.77-3.09
In2 0.5813 0.1625 0.3740  4 Au 2.77-3.09
Au1 0.8568 0.7136 0.7825  4 In 2.77-3.09, 1 Au 2.95, 3 Pu 2.99
Au2 0.1432 0.2864 0.2175  4 In 2.77-3.09, 1 Au 2.95, 3 Pu 2.99

E_form (meV per atom): -272.8
Space-group type: No. 12
Electronic total energy (eV per atom): -7.06
DOS at the Fermi energy (states/eV per cell): 18.67

=====

Entry 4:
PuInAu2: optimized geometry, PBE.

Cell lengths 4.2407, 4.2407, 7.0892 Å; angles 72.60, 72.60, 60.00 degrees
Last column: nearest neighbours and their distance in Å.
Positions (direct):
Pu1 0.6689 0.6689 0.9934  6 Au 3.01-3.05
In1 0.4967 0.4967 0.5098  6 Au 2.85-2.93
Au1 0.0900 0.0900 0.7300  3 In 2.85, 3 Pu 3.01, 1 Au 3.08
Au2 0.2444 0.2444 0.2668  3 In 2.93, 3 Pu 3.05, 1 Au 3.08

E_form (meV per atom): -223.8
Space-group type: No. 160
Electronic total energy (eV per atom): -6.13
DOS at the Fermi energy (states/eV per cell): 15.11

=====

Entry 5:
PuInRhAu: optimized geometry, PBE.

Cell lengths 4.8793, 4.8793, 4.8793 Å; angles 60.00, 60.00, 60.00 degrees
Last column: nearest neighbours and their distance in Å.
Positions (direct):
Rh1 0.5000 0.5000 0.5000  4 In 2.99, 4 Pu 2.99
In1 0.7500 0.7500 0.7500  4 Au 2.99, 4 Rh 2.99
Au1 0.0000 0.0000 0.0000  4 Pu 2.99, 4 In 2.99
Pu1 0.2500 0.2500 0.2500  4 Rh 2.99, 4 Au 2.99

E_form (meV per atom): -330.5
Space-group type: No. 216
Electronic total energy (eV per atom): -7.26
DOS at the Fermi energy (states/eV per cell): 10.98

=====

Entry 6:
PuInRuAu: optimized geometry, PBE.

Cell lengths 4.8455, 4.8455, 4.8455 Å; angles 60.00, 60.00, 60.00 degrees
Last column: nearest neighbours and their distance in Å.
Positions (direct):
Ru1 0.7500 0.7500 0.7500  4 In 2.97, 4 Pu 2.97
In1 0.5000 0.5000 0.5000  4 Au 2.97, 4 Ru 2.97
Au1 0.2500 0.2500 0.2500  4 In 2.97, 4 Pu 2.97
Pu1 0.0000 0.0000 0.0000  4 Ru 2.97, 4 Au 2.97

E_form (meV per atom): -89.7
Space-group type: No. 216
Electronic total energy (eV per atom): -7.50
DOS at the Fermi energy (states/eV per cell): 8.42

=====

Entry 7:
PuIn2Si2Au7: optimized geometry, PBE.

Cell lengths 4.5864, 4.5864, 12.8968 Å; angles 92.01, 92.01, 99.63 degrees
Last column: nearest neighbours and their distance in Å.
Positions (direct):
Pu1 0.0000 0.0000 0.0000  6 Au 2.96-3.22
In1 0.8395 0.8395 0.3748  4 Au 2.82-3.03
In2 0.1605 0.1605 0.6252  4 Au 2.82-3.03
Si1 0.6680 0.6680 0.7640  5 Au 2.40-2.61
Si2 0.3320 0.3320 0.2360  5 Au 2.40-2.61
Au1 0.5000 0.5000 0.0000  4 Au 2.83, 2 Pu 2.96
Au2 0.3212 0.3212 0.4232  1 Si 2.42
Au3 0.6788 0.6788 0.5768  1 Si 2.42
Au4 0.8740 0.4710 0.1771  2 Si 2.40-2.61
Au5 0.4710 0.8740 0.1771  2 Si 2.40-2.61
Au6 0.5290 0.1260 0.8229  2 Si 2.40-2.61
Au7 0.1260 0.5290 0.8229  2 Si 2.40-2.61

Space-group type: No. 12
Electronic total energy (eV per atom): -4.59
DOS at the Fermi energy (states/eV per cell): 19.12

=====

Entry 8:
SmPuInAu: optimized geometry, PBE.

Cell lengths 5.3036, 5.3036, 5.3036 Å; angles 60.00, 60.00, 60.00 degrees
Last column: nearest neighbours and their distance in Å.
Positions (direct):
In1 0.5000 0.5000 0.5000  4 Sm 3.25, 4 Pu 3.25
Au1 0.0000 0.0000 0.0000  4 Pu 3.25, 4 Sm 3.25
Sm1 0.7500 0.7500 0.7500  4 In 3.25, 4 Au 3.25
Pu1 0.2500 0.2500 0.2500  4 In 3.25, 4 Au 3.25

E_form (meV per atom): -363.6
Space-group type: No. 216
Electronic total energy (eV per atom): -6.63
DOS at the Fermi energy (states/eV per cell): 11.15

=====

Entry 9:
Pu4InSn2Au: optimized geometry, PBE.

Cell lengths 5.3221, 5.3221, 9.2337 Å; angles 73.25, 73.25, 60.00 degrees
Last column: nearest neighbours and their distance in Å.
Positions (direct):
Pu1 0.3803 0.3803 0.8592  1 Au 3.13, 4 Sn 3.19-3.30, 3 In 3.31
Pu2 0.8710 0.8710 0.3870  3 Au 3.23, 4 Sn 3.26-3.33, 1 In 3.37
Pu3 0.1290 0.1290 0.6130  3 Au 3.23, 4 Sn 3.26-3.33, 1 In 3.37
Pu4 0.6197 0.6197 0.1408  1 Au 3.13, 4 Sn 3.19-3.30, 3 In 3.31
In1 0.0000 0.0000 0.0000  8 Pu 3.31-3.37
Sn1 0.7461 0.7461 0.7616  8 Pu 3.19-3.33
Sn2 0.2539 0.2539 0.2384  8 Pu 3.19-3.33
Au1 0.5000 0.5000 0.5000  8 Pu 3.13-3.23

E_form (meV per atom): -270.9
Space-group type: No. 166
Electronic total energy (eV per atom): -9.19
DOS at the Fermi energy (states/eV per cell): 32.69

=====

Entry 10:
Sr2PuInAu6: optimized geometry, PBE.

Cell lengths 7.6660, 7.6660, 7.6661 Å; angles 60.00, 60.00, 90.00 degrees
Last column: nearest neighbours and their distance in Å.
Positions (direct):
Sr1 0.2500 0.7500 0.5000  12 Au 3.83
Sr2 0.7500 0.2500 0.5000  12 Au 3.83
Pu1 0.5000 0.5000 0.0000  6 Au 2.77
In1 0.0000 0.0000 0.0000  6 Au 2.65
Au1 0.2448 0.7552 0.0000  1 In 2.65, 1 Pu 2.77
Au2 0.7552 0.7552 0.0000  1 In 2.65, 1 Pu 2.77
Au3 0.2448 0.2448 0.5103  1 In 2.65, 1 Pu 2.77
Au4 0.7552 0.2448 0.0000  1 In 2.65, 1 Pu 2.77
Au5 0.2448 0.2448 0.0000  1 In 2.65, 1 Pu 2.77
Au6 0.7552 0.7552 0.4897  1 In 2.65, 1 Pu 2.77

E_form (meV per atom): -109.6
Space-group type: No. 225
Electronic total energy (eV per atom): -4.12
DOS at the Fermi energy (states/eV per cell): 17.37

=====

Entry 11:
PuInTeAu: optimized geometry, PBE.

Cell lengths 5.2479, 5.2479, 5.2479 Å; angles 60.00, 60.00, 60.00 degrees
Last column: nearest neighbours and their distance in Å.
Positions (direct):
In1 0.2500 0.2500 0.2500  4 Te 3.21, 4 Au 3.21
Te1 0.5000 0.5000 0.5000  4 Pu 3.21, 4 In 3.21
Au1 0.0000 0.0000 0.0000  4 In 3.21, 4 Pu 3.21
Pu1 0.7500 0.7500 0.7500  4 Au 3.21, 4 Te 3.21

Space-group type: No. 216
Electronic total energy (eV per atom): -6.30
DOS at the Fermi energy (states/eV per cell): 9.85

=====

Entry 12:
TmPuInAu: optimized geometry, PBE.

Cell lengths 5.2191, 5.2191, 5.2191 Å; angles 60.00, 60.00, 60.00 degrees
Last column: nearest neighbours and their distance in Å.
Positions (direct):
In1 0.7500 0.7500 0.7500  4 Tm 3.20, 4 Pu 3.20
Tm1 0.0000 0.0000 0.0000  4 In 3.20, 4 Au 3.20
Au1 0.2500 0.2500 0.2500  4 Pu 3.20, 4 Tm 3.20
Pu1 0.5000 0.5000 0.5000  4 In 3.20, 4 Au 3.20

E_form (meV per atom): -380.6
Space-group type: No. 216
Electronic total energy (eV per atom): -6.59
DOS at the Fermi energy (states/eV per cell): 9.52